# RbBePO4

Crystalline RbBePO4 at its relaxed geometry (PBEsol, Alexandria via LeMat-Bulk).

The magnetization is 0.00 μB/f.u. Its formation energy from raw total energies is -2512 meV/atom.

a b c (Å): 8.5822 8.6222 5.0021
angles (deg): 90.00 90.00 90.00
Last column: nearest neighbours and their distance in Å.
Space group Pna2_1 (No. 33)
Inequivalent atoms, fractional coordinates:
Rb 0.0028 0.2057 0.0000  7 O 2.85-3.17
Be 0.1786 0.4106 0.4929  4 O 1.61-1.64
P 0.1864 0.5830 0.9916  4 O 1.53-1.55
O 0.0089 0.5984 0.9883  1 P 1.53, 1 Be 1.61
O 0.2409 0.4581 0.7890  1 P 1.55, 1 Be 1.63
O 0.2415 0.2394 0.4108  1 P 1.54, 1 Be 1.62
O 0.2439 0.5364 0.2736  1 P 1.55, 1 Be 1.64